# 1
The following is a GGA-PBE calculation of an optimized crystal structure of Sr2OsPb, from Alexandria.

Lattice parameters (Å, degrees): 10.5721 10.5721 10.5721 19.71 19.71 19.71
With the nearest neighbours (Å) after each atom.
Atoms (fractional coordinates):
Os: 0.2500 0.2500 0.2500  6 Sr 3.02
Pb: 0.7500 0.7500 0.7500  6 Pb 3.62, 6 Sr 3.65
Sr: 0.9869 0.9869 0.9869  3 Os 3.02
Sr: 0.5131 0.5131 0.5131  3 Os 3.02

Results
final energy = -4.0383 eV per atom
DFT formation energy = 0.54 eV per atom

# 2
The following is a GGA-PBE calculation of an optimized crystal structure of Sr2OsPb, from Alexandria.

Lattice parameters (Å, degrees): 6.8716 6.8716 5.3732 66.97 66.97 31.16
With the nearest neighbours (Å) after each atom.
Atoms (fractional coordinates):
Os: 0.5168 0.5168 0.4835  2 Pb 2.74
Pb: 0.1847 0.1847 0.3148  2 Os 2.74
Sr: 0.9974 0.9974 0.0028  4 Os 3.27, 2 Pb 3.51-3.52, 2 Sr 3.58-3.59
Sr: 0.8011 0.8011 0.6989  2 Os 3.20, 4 Pb 3.55

Results
final energy = -4.2714 eV per atom
DFT formation energy = 0.30 eV per atom

# 3
The following is a GGA-PBE calculation of an optimized crystal structure of Sr2OsPb, from Alexandria.

Lattice parameters (Å, degrees): 3.3741 7.0563 6.4939 49.51 90.00 90.00
With the nearest neighbours (Å) after each atom.
Atoms (fractional coordinates):
Os: 0.5000 0.5000 0.5000  6 Sr 3.25-3.31, 2 Os 3.37
Pb: 0.0000 0.0000 0.5000  6 Sr 3.25-3.31, 2 Pb 3.37
Sr: 0.0000 0.0000 0.0000  2 Pb 3.25, 4 Os 3.31, 2 Sr 3.37
Sr: 0.5000 0.5000 0.0000  2 Os 3.25, 4 Pb 3.31, 2 Sr 3.37

Results
final energy = -3.8853 eV per atom
DFT formation energy = 0.69 eV per atom